1.
Material: CsHRuSe
Method: DFT, PBE
State: optimized geometry

Cell and atoms, written as CIF:
```
data_CsHRuSe
_chemical_formula_sum 'Cs1 H1 Ru1 Se1'
_space_group_name_H-M_alt 'P 1'
_space_group_IT_number 1
_cell_length_a 3.268
_cell_length_b 4.496
_cell_length_c 6.442
_cell_angle_alpha 102.42
_cell_angle_beta 90.47
_cell_angle_gamma 111.31
loop_
_space_group_symop_operation_xyz
'x,y,z'
loop_
_atom_site_label
_atom_site_fract_x
_atom_site_fract_y
_atom_site_fract_z
Cs1 0.000 0.000 0.000
H1 0.822 0.669 0.338
Ru1 0.301 0.622 0.466
Se1 0.606 0.228 0.550
```

The offset from the most stable computed form comes out at 54 meV/atom.

---

2.
Material: RbLiMn2
Method: DFT, PBE
State: optimized geometry

Cell and atoms, written as CIF:
```
data_RbLiMn2
_chemical_formula_sum 'Rb4 Li4 Mn8'
_space_group_name_H-M_alt 'F m -3 m'
_space_group_IT_number 225
_space_group_name_Hall '-F 4 2 3'
_cell_length_a 7.618
_cell_length_b 7.618
_cell_length_c 7.618
_cell_angle_alpha 90.00
_cell_angle_beta 90.00
_cell_angle_gamma 90.00
loop_
_atom_site_label
_atom_site_fract_x
_atom_site_fract_y
_atom_site_fract_z
Rb1 0.000 0.000 0.000
Li1 0.000 0.000 0.500
Mn1 0.250 0.250 0.250
```

Its energy of formation is 4.66 eV per formula unit. The offset from the most stable computed form comes out at 98 meV/atom.

---

3.
Material: U2Al12Cu7
Method: DFT, PBE
State: optimized geometry

Cell and atoms, written as CIF:
```
data_U2Al12Cu7
_chemical_formula_sum 'U2 Al12 Cu7'
_space_group_name_H-M_alt 'P -6'
_space_group_IT_number 174
_cell_length_a 9.9406
_cell_length_b 9.9406
_cell_length_c 3.9333
_cell_angle_alpha 90.00
_cell_angle_beta 90.00
_cell_angle_gamma 120.00
loop_
_space_group_symop_operation_xyz
'x,y,z'
'-x+y,-x,-z'
'-y,x-y,z'
'x,y,-z'
'-x+y,-x,z'
'-y,x-y,-z'
loop_
_atom_site_label
_atom_site_fract_x
_atom_site_fract_y
_atom_site_fract_z
U1 0.0000 0.0000 0.0000
U2 0.3333 0.6667 0.5000
Al1 0.0460 0.2831 0.5000
Al2 0.1094 0.7219 0.0000
Al3 0.3815 0.1787 0.0000
Al4 0.5357 0.4278 0.5000
Cu1 0.0689 0.4543 0.0000
Cu2 0.2516 0.2177 0.5000
Cu3 0.6667 0.3333 0.0000
```

Its energy of formation is -3.34 eV per formula unit.

---

4.
Material: Fe3Au
Method: DFT, PBE
State: optimized geometry

Cell and atoms, written as CIF:
```
data_Fe3Au
_chemical_formula_sum 'Fe12 Au4'
_space_group_name_H-M_alt 'C m c m'
_space_group_IT_number 63
_space_group_name_Hall '-C 2c 2'
_cell_length_a 5.323
_cell_length_b 9.416
_cell_length_c 4.316
_cell_angle_alpha 90.00
_cell_angle_beta 90.00
_cell_angle_gamma 90.00
loop_
_atom_site_label
_atom_site_fract_x
_atom_site_fract_y
_atom_site_fract_z
Fe1 0.000 0.167 0.250
Fe2 0.227 0.075 0.750
Au1 0.000 0.335 0.750
```

Its energy of formation is 0.60 eV per formula unit.

---

5.
Material: MgTaMn
Method: DFT, PBE
State: optimized geometry

Cell and atoms, written as CIF:
```
data_MgTaMn
_chemical_formula_sum 'Mg4 Ta4 Mn4'
_space_group_name_H-M_alt 'F m m 2'
_space_group_IT_number 42
_space_group_name_Hall 'F 2 -2'
_cell_length_a 3.512
_cell_length_b 4.417
_cell_length_c 13.502
_cell_angle_alpha 90.00
_cell_angle_beta 90.00
_cell_angle_gamma 90.00
loop_
_atom_site_label
_atom_site_fract_x
_atom_site_fract_y
_atom_site_fract_z
Mg1 0.000 0.000 0.000
Ta1 0.000 0.000 0.685
Mn1 0.000 0.000 0.333
```

Its energy of formation is 0.78 eV per formula unit. The offset from the most stable computed form comes out at 84 meV/atom.

---

6.
Material: In2GaB
Method: DFT, PBE
State: optimized geometry

Cell and atoms, written as CIF:
```
data_In2GaB
_chemical_formula_sum 'In8 Ga4 B4'
_space_group_name_H-M_alt 'I -4 2 d'
_space_group_IT_number 122
_space_group_name_Hall 'I -4 2bw'
_cell_length_a 6.353
_cell_length_b 6.353
_cell_length_c 9.639
_cell_angle_alpha 90.00
_cell_angle_beta 90.00
_cell_angle_gamma 90.00
loop_
_atom_site_label
_atom_site_fract_x
_atom_site_fract_y
_atom_site_fract_z
In1 0.166 0.250 0.125
Ga1 0.000 0.000 0.500
B1 0.000 0.000 0.000
```

Its energy of formation is 2.51 eV per formula unit. The offset from the most stable computed form comes out at 0 meV/atom.

---

7.
Material: Ta2AgIr2
Method: DFT, PBE
State: optimized geometry

Cell and atoms, written as CIF:
```
data_Ta2AgIr2
_chemical_formula_sum 'Ta4 Ag2 Ir4'
_space_group_name_H-M_alt 'P 4/m b m'
_space_group_IT_number 127
_space_group_name_Hall '-P 4 2ab'
_cell_length_a 7.720
_cell_length_b 7.720
_cell_length_c 2.913
_cell_angle_alpha 90.00
_cell_angle_beta 90.00
_cell_angle_gamma 90.00
loop_
_atom_site_label
_atom_site_fract_x
_atom_site_fract_y
_atom_site_fract_z
Ta1 0.160 0.340 0.000
Ag1 0.000 0.000 0.500
Ir1 0.134 0.634 0.500
```

Its energy of formation is -1.71 eV per formula unit. The offset from the most stable computed form comes out at 0 meV/atom.

---

8.
Material: CaCdPt2
Method: DFT, PBE
State: optimized geometry

Cell and atoms, written as CIF:
```
data_CaCdPt2
_chemical_formula_sum 'Ca2 Cd2 Pt4'
_space_group_name_H-M_alt 'I -4 m 2'
_space_group_IT_number 119
_space_group_name_Hall 'I -4 -2'
_cell_length_a 4.090
_cell_length_b 4.090
_cell_length_c 9.055
_cell_angle_alpha 90.00
_cell_angle_beta 90.00
_cell_angle_gamma 90.00
loop_
_atom_site_label
_atom_site_fract_x
_atom_site_fract_y
_atom_site_fract_z
Ca1 0.000 0.000 0.000
Cd1 0.000 0.500 0.250
Pt1 0.000 0.000 0.500
Pt2 0.000 0.500 0.750
```

Its energy of formation is -2.24 eV per formula unit.

---

9.
Material: Pm8SiPt2
Method: DFT, PBE
State: optimized geometry

Cell and atoms, written as CIF:
```
data_Pm8SiPt2
_chemical_formula_sum 'Pm16 Si2 Pt4'
_space_group_name_H-M_alt 'C 1 2/m 1'
_space_group_IT_number 12
_cell_length_a 18.865
_cell_length_b 5.129
_cell_length_c 6.930
_cell_angle_alpha 90.00
_cell_angle_beta 111.06
_cell_angle_gamma 90.00
loop_
_space_group_symop_operation_xyz
'x,y,z'
'-x,-y,-z'
'-x,y,-z'
'x,-y,z'
'x+1/2,y+1/2,z'
'-x+1/2,-y+1/2,-z'
'-x+1/2,y+1/2,-z'
'x+1/2,-y+1/2,z'
loop_
_atom_site_label
_atom_site_fract_x
_atom_site_fract_y
_atom_site_fract_z
Pm1 0.029 0.000 0.261
Pm2 0.095 0.500 0.725
Pm3 0.176 0.500 0.350
Pm4 0.201 0.000 0.056
Si1 0.000 0.500 0.000
Pt1 0.166 0.000 0.610
```

The offset from the most stable computed form comes out at 0 meV/atom. For the formation energy without anion corrections, the calculation gives -12.4 kcal/mol of atoms.

---

10.
Material: Dy3ScHg7
Method: DFT, PBE
State: optimized geometry

Cell and atoms, written as CIF:
```
data_Dy3ScHg7
_chemical_formula_sum 'Dy12 Sc4 Hg28'
_space_group_name_H-M_alt 'C m c m'
_space_group_IT_number 63
_space_group_name_Hall '-C 2c 2'
_cell_length_a 3.622
_cell_length_b 32.604
_cell_length_c 11.216
_cell_angle_alpha 90.00
_cell_angle_beta 90.00
_cell_angle_gamma 90.00
loop_
_atom_site_label
_atom_site_fract_x
_atom_site_fract_y
_atom_site_fract_z
Dy1 0.000 0.062 0.076
Dy2 0.000 0.178 0.750
Sc1 0.000 0.076 0.750
Hg1 0.000 0.275 0.074
Hg2 0.000 0.377 0.075
Hg3 0.000 0.388 0.750
Hg4 0.000 0.482 0.120
```

Its energy of formation is -2.34 eV per formula unit.